Here is a relaxed AlCdSe2N crystal from Alexandria via LeMat-Bulk. Energies are from PBE.

a = 4.8785 Å, b = 5.5667 Å, c = 4.8785 Å
α = 90.00°, β = 90.00°, γ = 90.00°
With the nearest neighbours (Å) after each atom.
Element x y z (fractional)
N: 0.5000 0.5000 0.5000  4 Cd 3.45, 8 Se 3.70
Al: 0.0000 0.0000 0.0000  4 Se 2.44
Se: 0.0000 0.0000 0.5000  2 Al 2.44
Se: 0.5000 0.0000 0.0000  2 Al 2.44
Cd: 0.0000 0.5000 0.0000  2 Al 2.78

## Properties
uncorrected formation energy = 1.045 eV per atom
distance to the lowest polymorph of the same formula = 887 meV per atom